[1]
Below is a relaxed ReTcRh2 crystal, with properties calculated at the GGA-PBE level.

Unit cell a=2.697 b=3.949 c=5.394 alpha=90.00 beta=90.00 gamma=90.00
Space group Pmmm (No. 47)
Unique sites:
Re  0.000  0.000  0.000
Tc  0.000  0.000  0.500
Rh  0.500  0.500  0.250

Output
Distance to the lowest polymorph of the same formula   0.117 eV per atom
Uncorrected energy   -9.44 eV per atom

=====

[2]
Below is a relaxed ReTcRh2 crystal, with properties calculated at the GGA-PBE level.

Unit cell a=6.169 b=6.169 c=6.169 alpha=90.00 beta=90.00 gamma=90.00
Space group F-43m (No. 216)
Unique sites:
Re  0.000  0.000  0.000
Tc  0.250  0.250  0.750
Rh  0.000  0.000  0.500
Rh  0.250  0.250  0.250

Output
Distance to the lowest polymorph of the same formula   0.418 eV per atom
Uncorrected energy   -9.14 eV per atom

=====

Please write out number 1 again, unchanged.
Below is a relaxed ReTcRh2 crystal, with properties calculated at the GGA-PBE level.

Unit cell a=2.697 b=3.949 c=5.394 alpha=90.00 beta=90.00 gamma=90.00
Space group Pmmm (No. 47)
Unique sites:
Re  0.000  0.000  0.000
Tc  0.000  0.000  0.500
Rh  0.500  0.500  0.250

Output
Distance to the lowest polymorph of the same formula   0.117 eV per atom
Uncorrected energy   -9.44 eV per atom